VASP calculation (PBE-GGA) on a relaxed structure of KTiP2O.

The structure belongs to space group P4/mmm (No. 123); the cell edges are 5.1106, 5.1106 and 4.6923 Å and the angles 90.00°, 90.00° and 90.00°. The inequivalent atoms are K at (0.0000, 0.0000, 0.0000), Ti at (0.0000, 0.0000, 0.5000), P at (0.0000, 0.5000, 0.0000) and O at (0.5000, 0.5000, 0.5000).

The value obtained for the theoretical density is 2.23 g/cm³. For the uncorrected formation energy, the calculation gives 12.15 eV/f.u. As for the distance to the lowest polymorph of the same formula: 3.047 eV per atom. Its total moment is 0.00 μB per formula unit.


VASP calculation (PBE-GGA) on a relaxed structure of Cs3Rb3PuI8.

The structure belongs to space group R-3m (No. 166, hexagonal axes); the cell edges are 10.6265, 10.6265 and 26.7476 Å and the angles 90.00°, 90.00° and 120.00°. The inequivalent atoms are Cs at (0.0000, 0.5000, 0.0000), Rb at (0.0000, 0.5000, 0.5000), Pu at (0.0000, 0.0000, 0.5000), I at (0.0000, 0.0000, 0.2453) and I at (0.0405, 0.5203, 0.2362).

The value obtained for the theoretical density is 3.65 g/cm³. For the uncorrected formation energy, the calculation gives -21.27 eV/f.u. Its total moment is 6.00 μB per formula unit.


VASP calculation (PBE-GGA) on a relaxed structure of TmTlBi2.

The structure belongs to space group R-3m (No. 166, hexagonal axes); the cell edges are 4.3551, 4.3551 and 24.6907 Å and the angles 90.00°, 90.00° and 120.00°. The inequivalent atoms are Tm at (0.0000, 0.0000, 0.0000), Tl at (0.0000, 0.0000, 0.5000) and Bi at (0.0000, 0.0000, 0.2575).

The value obtained for the theoretical density is 9.72 g/cm³. As for the distance to the lowest polymorph of the same formula: 0.159 eV per atom. Its total moment is 0.00 μB per formula unit.


VASP calculation (PBE-GGA) on a relaxed structure of AlInNi.

The structure belongs to space group F-43m (No. 216); the cell edges are 5.9760, 5.9760 and 5.9760 Å and the angles 90.00°, 90.00° and 90.00°. The inequivalent atoms are Al at (0.0000, 0.0000, 0.0000), In at (0.0000, 0.0000, 0.5000) and Ni at (0.2500, 0.2500, 0.7500).

Its electronic total energy is -4.2932 eV per atom. The value obtained for the theoretical density is 6.24 g/cm³. Its total moment is 0.00 μB per formula unit.


VASP calculation (PBE-GGA) on a relaxed structure of La2PrDyTm.

The structure belongs to space group Cmcm (No. 63); the cell edges are 6.5559, 16.6339 and 6.5527 Å and the angles 90.00°, 90.00° and 90.00°. The inequivalent atoms are La at (0.2486, 0.0000, 0.0000), Pr at (0.0000, 0.3402, 0.2500), Dy at (0.0000, 0.2459, 0.7500) and Tm at (0.0000, 0.1556, 0.2500).

Its electronic total energy is -4.3923 eV per atom. The value obtained for the theoretical density is 6.97 g/cm³. Its total moment is 0.00 μB per formula unit.


VASP calculation (PBE-GGA) on a relaxed structure of Zn3InPb.

The structure belongs to space group Pm-3m (No. 221); the cell edges are 5.1432, 5.1432 and 5.1432 Å and the angles 90.00°, 90.00° and 90.00°. The inequivalent atoms are Zn at (0.0000, 0.0000, 0.5000), In at (0.0000, 0.0000, 0.0000) and Pb at (0.5000, 0.5000, 0.5000).

The value obtained for the theoretical density is 6.33 g/cm³. As for the distance to the lowest polymorph of the same formula: 0.000 eV per atom. Its total moment is 0.00 μB per formula unit.


VASP calculation (PBE-GGA) on a relaxed structure of LaDy2YEr5.

The structure belongs to space group I4/mcm (No. 140); the cell edges are 8.9237, 8.9237 and 14.6946 Å and the angles 90.00°, 90.00° and 90.00°. The inequivalent atoms are La at (0.0000, 0.0000, 0.2500), Dy at (0.1126, 0.3874, 0.0000), Y at (0.0000, 0.5000, 0.2500), Er at (0.0000, 0.0000, 0.0000) and Er at (0.2054, 0.2946, 0.3697).

Its electronic total energy is -4.5408 eV per atom. The value obtained for the theoretical density is 7.88 g/cm³. Its total moment is 0.00 μB per formula unit.


VASP calculation (PBE-GGA) on a relaxed structure of Hg2AuCl.

The structure belongs to space group P4mm (No. 99); the cell edges are 3.9458, 3.9458 and 7.1557 Å and the angles 90.00°, 90.00° and 90.00°. The inequivalent atoms are Hg at (0.0000, 0.0000, 0.0000), Hg at (0.5000, 0.5000, 0.4244), Au at (0.0000, 0.0000, 0.3858) and Cl at (0.5000, 0.5000, 0.8747).

The value obtained for the theoretical density is 9.44 g/cm³. For the uncorrected formation energy, the calculation gives -0.29 eV/f.u. As for the distance to the lowest polymorph of the same formula: 0.053 eV per atom. Its total moment is 0.00 μB per formula unit.


VASP calculation (PBE-GGA) on a relaxed structure of NdY2H.

The structure belongs to space group R3m (No. 160, hexagonal axes); the cell edges are 3.6254, 3.6254 and 26.1819 Å and the angles 90.00°, 90.00° and 120.00°. The inequivalent atoms are Nd at (0.0000, 0.0000, 0.0000), Y at (0.0000, 0.0000, 0.5538), Y at (0.0000, 0.0000, 0.7812) and H at (0.0000, 0.0000, 0.1664).

The value obtained for the theoretical density is 5.40 g/cm³. As for the distance to the lowest polymorph of the same formula: 0.023 eV per atom. Its total moment is 0.00 μB per formula unit.


VASP calculation (PBE-GGA) on a relaxed structure of TaBe2Cd.

The structure belongs to space group Imm2 (No. 44); the cell edges are 2.9203, 4.1519 and 9.2874 Å and the angles 90.00°, 90.00° and 90.00°. The inequivalent atoms are Ta at (0.0000, 0.0000, 0.0000), Be at (0.0000, 0.0000, 0.4605), Be at (0.0000, 0.5000, 0.7683) and Cd at (0.0000, 0.5000, 0.2211).

Its electronic total energy is -4.6723 eV per atom. The value obtained for the theoretical density is 9.18 g/cm³. Its total moment is 0.00 μB per formula unit.


VASP calculation (PBE-GGA) on a relaxed structure of PmNd8Dy4.

The structure belongs to space group R-3m (No. 166, hexagonal axes); the cell edges are 11.2868, 11.2868 and 13.4634 Å and the angles 90.00°, 90.00° and 120.00°. The inequivalent atoms are Pm at (0.0000, 0.0000, 0.0000), Nd at (0.0000, 0.0000, 0.2623), Nd at (0.0116, 0.5058, 0.2419), Dy at (0.0000, 0.0000, 0.5000) and Dy at (0.0000, 0.5000, 0.5000).

Its electronic total energy is -4.2469 eV per atom. The value obtained for the theoretical density is 6.54 g/cm³. Its total moment is 0.00 μB per formula unit.


VASP calculation (PBE-GGA) on a relaxed structure of K2LaSi.

The structure belongs to space group P4/mmm (No. 123); the cell edges are 4.8508, 4.8508 and 6.4338 Å and the angles 90.00°, 90.00° and 90.00°. The inequivalent atoms are K at (0.0000, 0.0000, 0.2219), La at (0.5000, 0.5000, 0.5000) and Si at (0.5000, 0.5000, 0.0000).

The value obtained for the theoretical density is 2.69 g/cm³. For the uncorrected formation energy, the calculation gives 2.09 eV/f.u. Its total moment is 0.01 μB per formula unit.


VASP calculation (PBE-GGA) on a relaxed structure of Ce2CdCo.

The structure belongs to space group R3m (No. 160, hexagonal axes); the cell edges are 3.7693, 3.7693 and 24.8508 Å and the angles 90.00°, 90.00° and 120.00°. The inequivalent atoms are Ce at (0.0000, 0.0000, 0.0000), Ce at (0.0000, 0.0000, 0.2083), Cd at (0.0000, 0.0000, 0.7721) and Co at (0.0000, 0.0000, 0.6022).

The value obtained for the theoretical density is 7.36 g/cm³. As for the distance to the lowest polymorph of the same formula: 0.060 eV per atom. Its total moment is 1.00 μB per formula unit.


VASP calculation (PBE-GGA) on a relaxed structure of BaMn2Pd.

The structure belongs to space group I4_1/amd (No. 141, origin choice 2); the cell edges are 5.0664, 5.0664 and 17.8087 Å and the angles 90.00°, 90.00° and 90.00°. The inequivalent atoms are Ba at (0.0000, 0.2500, 0.3750), Mn at (0.0000, 0.0000, 0.0000) and Pd at (0.0000, 0.2500, 0.8750).

Its electronic total energy is -5.9338 eV per atom. The value obtained for the theoretical density is 5.14 g/cm³. Its total moment is 7.84 μB per formula unit.


VASP calculation (PBE-GGA) on a relaxed structure of MgAg.

The structure belongs to space group R-3m (No. 166, hexagonal axes); the cell edges are 3.0593, 3.0593 and 29.0773 Å and the angles 90.00°, 90.00° and 120.00°. The inequivalent atoms are Mg at (0.0000, 0.0000, 0.1189) and Ag at (0.0000, 0.0000, 0.3739).

Its electronic total energy is -2.2608 eV per atom. The value obtained for the theoretical density is 5.59 g/cm³. Its total moment is 0.00 μB per formula unit.


VASP calculation (PBE-GGA) on a relaxed structure of RbRh2Br2.

The structure belongs to space group I4/mmm (No. 139); the cell edges are 4.9847, 4.9847 and 9.3743 Å and the angles 90.00°, 90.00° and 90.00°. The inequivalent atoms are Rb at (0.0000, 0.0000, 0.0000), Rh at (0.0000, 0.0000, 0.3567) and Br at (0.0000, 0.5000, 0.2500).

The value obtained for the theoretical density is 6.43 g/cm³. For the uncorrected formation energy, the calculation gives 0.57 eV/f.u. As for the distance to the lowest polymorph of the same formula: 0.174 eV per atom. Its total moment is 0.00 μB per formula unit.


VASP calculation (PBE-GGA) on a relaxed structure of TbPr2YTm.

The structure belongs to space group Cmcm (No. 63); the cell edges are 8.4446, 11.6256 and 7.3067 Å and the angles 90.00°, 90.00° and 90.00°. The inequivalent atoms are Tb at (0.0000, 0.2154, 0.2500), Pr at (0.1958, 0.0000, 0.0000), Y at (0.0000, 0.2431, 0.7500) and Tm at (0.0000, 0.4788, 0.2500).

Its electronic total energy is -4.6228 eV per atom. The value obtained for the theoretical density is 6.47 g/cm³. Its total moment is 0.00 μB per formula unit.


VASP calculation (PBE-GGA) on a relaxed structure of LiTbNpTe3.

The structure belongs to space group P2_1/m (No. 11); the cell edges are 8.9656, 4.2646 and 9.5009 Å and the angles 90.00°, 103.59° and 90.00°. The inequivalent atoms are Li at (0.0849, 0.2500, 0.0820), Tb at (0.3309, 0.7500, 0.3373), Np at (0.1817, 0.2500, 0.7262), Te at (0.0917, 0.2500, 0.3712), Te at (0.2332, 0.7500, 0.9976) and Te at (0.4268, 0.7500, 0.6744).

The value obtained for the theoretical density is 7.39 g/cm³. For the uncorrected formation energy, the calculation gives -5.83 eV/f.u. Its total moment is 4.74 μB per formula unit.


VASP calculation (PBE-GGA) on a relaxed structure of TmAs3Pd5.

The structure belongs to space group Cmcm (No. 63); the cell edges are 3.9719, 14.5257 and 11.7627 Å and the angles 90.00°, 90.00° and 90.00°. The inequivalent atoms are Tm at (0.0000, 0.0607, 0.2500), As at (0.0000, 0.1466, 0.7500), As at (0.0000, 0.3757, 0.5695), Pd at (0.0000, 0.0000, 0.0000), Pd at (0.0000, 0.1950, 0.5403) and Pd at (0.0000, 0.4250, 0.1364).

Its electronic total energy is -5.4564 eV per atom. The value obtained for the theoretical density is 9.06 g/cm³. Its total moment is 0.00 μB per formula unit.